! Cs5Tl6Sn GGA-PBE relaxed; values from VASP
! formation energy from the elements = -0.0986 eV per atom
! theoretical density = 5.35 Mg/m³
! D(E_F) = 4.984 states/eV/f.u.
&SYSTEM
  ibrav = 0, nat = 12, ntyp = 3
/
ATOMIC_SPECIES
Tl 204.38 Tl.upf
Cs 132.91 Cs.upf
Sn 118.71 Sn.upf
CELL_PARAMETERS angstrom
-5.209 -2.603 -8.146
1.878 -7.015 -3.566
-4.851 -7.605 3.228
ATOMIC_POSITIONS crystal
Tl 0.181 0.745 0.294
Tl 0.181 0.039 0.706
Tl 0.819 0.255 0.706
Tl 0.301 0.052 0.000
Tl 0.819 0.961 0.294
Tl 0.699 0.948 0.000
Cs 0.000 0.363 0.274
Cs 0.500 0.209 0.583
Cs 0.500 0.500 0.000
Cs 0.500 0.791 0.417
Cs 0.000 0.637 0.726
Sn 0.000 0.000 0.000



! TbGe2P2Pt7 GGA-PBE relaxed; values from VASP
! formation energy from the elements = -0.5895 eV per atom
! theoretical density = 12.67 Mg/m³
! D(E_F) = 3.071 states/eV/f.u.
&SYSTEM
  ibrav = 0, nat = 12, ntyp = 4
/
ATOMIC_SPECIES
P 30.97 P.upf
Pt 195.08 Pt.upf
Tb 158.93 Tb.upf
Ge 72.64 Ge.upf
CELL_PARAMETERS angstrom
-0.967 -1.294 -3.553
3.221 -2.200 -0.113
-6.408 -13.001 4.378
ATOMIC_POSITIONS crystal
P 0.617 0.617 0.758
P 0.383 0.383 0.242
Pt 0.426 0.927 0.152
Pt 0.318 0.318 0.397
Pt 0.682 0.682 0.603
Pt 0.927 0.426 0.152
Pt 0.574 0.073 0.848
Pt 0.073 0.574 0.848
Pt 0.500 0.500 0.000
Tb 0.000 0.000 0.000
Ge 0.242 0.242 0.569
Ge 0.758 0.758 0.431



! Zr4FePd GGA-PBE relaxed; values from VASP
! formation energy from the elements = -0.0545 eV per atom
! theoretical density = 6.75 Mg/m³
! D(E_F) = 7.605 states/eV/f.u.
&SYSTEM
  ibrav = 0, nat = 12, ntyp = 3
/
ATOMIC_SPECIES
Zr 91.22 Zr.upf
Fe 55.84 Fe.upf
Pd 106.42 Pd.upf
CELL_PARAMETERS angstrom
-3.644 -2.380 -4.571
3.269 -5.495 0.255
-4.570 -1.425 4.386
ATOMIC_POSITIONS crystal
Zr 0.752 0.724 0.232
Zr 0.748 0.224 0.232
Zr 0.746 0.774 0.769
Zr 0.248 0.276 0.768
Zr 0.254 0.226 0.231
Zr 0.246 0.726 0.231
Zr 0.754 0.274 0.769
Zr 0.252 0.776 0.768
Fe 0.000 0.000 0.000
Fe 0.500 0.500 0.000
Pd 0.500 0.000 0.500
Pd 0.000 0.500 0.500



! K3Ac3IO8 GGA-PBE relaxed; values from VASP
! theoretical density = 5.46 Mg/m³
! E_form (uncorrected) = -2070.1 meV/atom
! D(E_F) = 1.472 states/eV/f.u.
&SYSTEM
  ibrav = 0, nat = 15, ntyp = 4
/
ATOMIC_SPECIES
I 126.90 I.upf
Ac 227.00 Ac.upf
K 39.10 K.upf
O 16.00 O.upf
CELL_PARAMETERS angstrom
7.445 0.000 0.000
-3.723 6.765 0.179
0.000 -4.289 6.240
ATOMIC_POSITIONS crystal
I 0.000 0.000 0.500
Ac 0.000 0.500 0.500
Ac 0.500 0.500 0.500
Ac 0.500 0.000 0.500
K 0.000 0.000 0.000
K 0.500 0.500 0.000
K 0.000 0.500 0.000
O 0.765 0.954 0.668
O 0.719 0.437 0.691
O 0.281 0.563 0.309
O 0.235 0.046 0.332
O 0.811 0.046 0.332
O 0.189 0.954 0.668
O 0.261 0.522 0.722
O 0.739 0.478 0.278



! KAsW GGA-PBE relaxed; values from VASP
! formation energy from the elements = 1.1539 eV per atom
! theoretical density = 7.97 Mg/m³
! D(E_F) = 2.687 states/eV/f.u.
&SYSTEM
  ibrav = 0, nat = 3, ntyp = 3
/
ATOMIC_SPECIES
As 74.92 As.upf
K 39.10 K.upf
W 183.84 W.upf
CELL_PARAMETERS angstrom
5.073 0.000 0.000
-2.537 4.393 0.000
0.000 0.000 2.786
ATOMIC_POSITIONS crystal
As 0.000 0.000 0.833
K 0.667 0.333 0.333
W 0.333 0.667 0.833



! Dy6Te3AuS2 GGA-PBE relaxed; values from VASP
! theoretical density = 8.61 Mg/m³
! E_form (uncorrected) = -1457.0 meV/atom
! D(E_F) = 5.611 states/eV/f.u.
&SYSTEM
  ibrav = 0, nat = 12, ntyp = 4
/
ATOMIC_SPECIES
S 32.06 S.upf
Te 127.60 Te.upf
Dy 162.50 Dy.upf
Au 196.97 Au.upf
CELL_PARAMETERS angstrom
7.186 0.006 0.002
-3.586 6.227 0.002
-1.198 -2.075 6.975
ATOMIC_POSITIONS crystal
S 0.666 0.334 0.000
S 0.334 0.666 0.000
Te 0.166 0.834 0.500
Te 0.834 0.166 0.500
Te 0.500 0.500 0.500
Dy 0.268 0.268 0.784
Dy 0.732 0.732 0.216
Dy 0.412 0.072 0.218
Dy 0.928 0.588 0.782
Dy 0.588 0.928 0.782
Dy 0.072 0.412 0.218
Au 0.000 0.000 0.000



! TlCu2HgPt GGA-PBE relaxed; values from VASP
! formation energy from the elements = 0.9617 eV per atom
! theoretical density = 9.81 Mg/m³
! D(E_F) = 4.217 states/eV/f.u.
&SYSTEM
  ibrav = 0, nat = 5, ntyp = 4
/
ATOMIC_SPECIES
Cu 63.55 Cu.upf
Hg 200.59 Hg.upf
Pt 195.08 Pt.upf
Tl 204.38 Tl.upf
CELL_PARAMETERS angstrom
4.880 0.000 0.000
0.000 5.167 0.000
0.000 0.000 4.880
ATOMIC_POSITIONS crystal
Cu 0.000 0.000 0.500
Cu 0.500 0.000 0.000
Hg 0.500 0.500 0.500
Pt 0.000 0.500 0.000
Tl 0.000 0.000 0.000



! CeHoPaPb GGA-PBE relaxed; values from VASP
! formation energy from the elements = 0.1232 eV per atom
! theoretical density = 11.15 Mg/m³
! D(E_F) = 9.977 states/eV/f.u.
&SYSTEM
  ibrav = 0, nat = 4, ntyp = 4
/
ATOMIC_SPECIES
Ho 164.93 Ho.upf
Ce 140.12 Ce.upf
Pa 231.04 Pa.upf
Pb 207.20 Pb.upf
CELL_PARAMETERS angstrom
-4.863 2.241 -0.614
-3.751 -2.474 -2.977
-4.304 -2.207 2.378
ATOMIC_POSITIONS crystal
Ho 0.500 0.500 0.500
Ce 0.000 0.000 0.000
Pa 0.750 0.750 0.750
Pb 0.250 0.250 0.250